# 1
Below is a relaxed structure of ScCu2Ru2, with properties calculated at the PBE level.

Values from the calculation:
ΔH_f (0 K): 1.02 eV per formula unit
mass density: 7.96 g/cm3

a b c (Å): 3.558 3.558 6.661
angles (deg): 74.51 74.51 90.00
Positions (direct):
Cu (0.750, 0.250, 0.500)
Ru (0.600, 0.600, 0.800)
Cu (0.250, 0.750, 0.500)
Ru (0.400, 0.400, 0.200)
Sc (0.000, 0.000, 0.000)

# 2
Below is a relaxed structure of TaZnRe2, with properties calculated at the PBE level.

Values from the calculation:
ΔH_f (0 K): 0.56 eV per formula unit
mass density: 16.58 g/cm3

a b c (Å): 4.877 4.877 4.877
angles (deg): 132.45 132.45 69.52
Positions (direct):
Zn (0.750, 0.250, 0.500)
Re (0.000, 0.000, 0.000)
Ta (0.500, 0.500, 0.000)
Re (0.250, 0.750, 0.500)